No. 1
LiPaI2: optimized geometry, PBE-GGA.

```
data_LiPaI2
_chemical_formula_sum 'Li3 Pa3 I6'
_symmetry_space_group_name_H-M 'R -3 m'
_symmetry_Int_Tables_number 166
_symmetry_space_group_name_Hall '-R 3 2"'
_cell_length_a 3.8613
_cell_length_b 3.8613
_cell_length_c 29.1606
_cell_angle_alpha 90.00
_cell_angle_beta 90.00
_cell_angle_gamma 120.00
loop_
_atom_site_label
_atom_site_type_symbol
_atom_site_fract_x
_atom_site_fract_y
_atom_site_fract_z
_atom_site_occupancy
Li1 Li 0.0000 0.0000 0.0000 1
Pa1 Pa 0.0000 0.0000 0.5000 1
I1 I 0.0000 0.0000 0.3947 1
```

Summary:
- Fermi-level density of states (states/eV/cell) = 15.64
- M_tot (μB/f.u.) = 2.51
- total DFT energy (no corrections) (eV/atom) = -3.972
- crystal system = trigonal

No. 2
Li2PaI6: optimized geometry, PBE-GGA.

```
data_Li2PaI6
_chemical_formula_sum 'Li4 Pa2 I12'
_symmetry_space_group_name_H-M 'P 42/m n m'
_symmetry_Int_Tables_number 136
_symmetry_space_group_name_Hall '-P 4n 2n'
_cell_length_a 7.287
_cell_length_b 7.287
_cell_length_c 13.201
_cell_angle_alpha 90.00
_cell_angle_beta 90.00
_cell_angle_gamma 90.00
loop_
_atom_site_label
_atom_site_type_symbol
_atom_site_fract_x
_atom_site_fract_y
_atom_site_fract_z
_atom_site_occupancy
Li1 Li 0.000 0.000 0.170 1
Pa1 Pa 0.000 0.000 0.500 1
I1 I 0.201 0.201 0.332 1
I2 I 0.202 0.202 0.000 1
```

Summary:
- Fermi-level density of states (states/eV/cell) = 2.47
- M_tot (μB/f.u.) = 1.00
- total DFT energy (no corrections) (eV/atom) = -3.550
- crystal system = tetragonal

No. 3
Li3PaI8: optimized geometry, PBE-GGA.

```
data_Li3PaI8
_chemical_formula_sum 'Li6 Pa2 I16'
_symmetry_space_group_name_H-M 'C 1 2/m 1'
_symmetry_Int_Tables_number 12
_cell_length_a 15.196
_cell_length_b 8.771
_cell_length_c 9.008
_cell_angle_alpha 90.00
_cell_angle_beta 124.52
_cell_angle_gamma 90.00
loop_
_symmetry_equiv_pos_as_xyz
'x,y,z'
'-x,-y,-z'
'-x,y,-z'
'x,-y,z'
'x+1/2,y+1/2,z'
'-x+1/2,-y+1/2,-z'
'-x+1/2,y+1/2,-z'
'x+1/2,-y+1/2,z'
loop_
_atom_site_label
_atom_site_type_symbol
_atom_site_fract_x
_atom_site_fract_y
_atom_site_fract_z
_atom_site_occupancy
Li1 Li 0.000 0.000 0.000 1
Li2 Li 0.250 0.250 0.000 1
Pa1 Pa 0.000 0.500 0.000 1
I1 I 0.002 0.266 0.238 1
I2 I 0.226 0.000 0.176 1
I3 I 0.236 0.500 0.238 1
```

Summary:
- M_tot (μB/f.u.) = 0.00
- total DFT energy (no corrections) (eV/atom) = -3.333
- crystal system = monoclinic

No. 4
Li3PaI7: optimized geometry, PBE-GGA.

```
data_Li3PaI7
_chemical_formula_sum 'Li6 Pa2 I14'
_symmetry_space_group_name_H-M 'C 1 m 1'
_symmetry_Int_Tables_number 8
_cell_length_a 14.888
_cell_length_b 8.536
_cell_length_c 9.859
_cell_angle_alpha 90.00
_cell_angle_beta 128.96
_cell_angle_gamma 90.00
loop_
_symmetry_equiv_pos_as_xyz
'x,y,z'
'x,-y,z'
'x+1/2,y+1/2,z'
'x+1/2,-y+1/2,z'
loop_
_atom_site_label
_atom_site_type_symbol
_atom_site_fract_x
_atom_site_fract_y
_atom_site_fract_z
_atom_site_occupancy
Li1 Li 0.000 0.000 0.000 1
Li2 Li 0.070 0.269 0.703 1
Pa1 Pa 0.499 0.000 0.102 1
I1 I 0.039 0.500 0.449 1
I2 I 0.171 0.242 0.231 1
I3 I 0.317 0.260 0.949 1
I4 I 0.456 0.000 0.754 1
I5 I 0.473 0.500 0.695 1
```

Summary:
- Fermi-level density of states (states/eV/cell) = 1.38
- M_tot (μB/f.u.) = 1.00
- total DFT energy (no corrections) (eV/atom) = -3.423
- crystal system = monoclinic

No. 5
LiPaI4: optimized geometry, PBE-GGA.

```
data_LiPaI4
_chemical_formula_sum 'Li2 Pa2 I8'
_symmetry_space_group_name_H-M 'I -4'
_symmetry_Int_Tables_number 82
_cell_length_a 7.094
_cell_length_b 7.094
_cell_length_c 12.596
_cell_angle_alpha 90.00
_cell_angle_beta 90.00
_cell_angle_gamma 90.00
loop_
_symmetry_equiv_pos_as_xyz
'x,y,z'
'y,-x,-z'
'-x,-y,z'
'-y,x,-z'
'x+1/2,y+1/2,z+1/2'
'y+1/2,-x+1/2,-z+1/2'
'-x+1/2,-y+1/2,z+1/2'
'-y+1/2,x+1/2,-z+1/2'
loop_
_atom_site_label
_atom_site_type_symbol
_atom_site_fract_x
_atom_site_fract_y
_atom_site_fract_z
_atom_site_occupancy
Li1 Li 0.000 0.000 0.000 1
Pa1 Pa 0.000 0.500 0.250 1
I1 I 0.236 0.763 0.882 1
```

Summary:
- Fermi-level density of states (states/eV/cell) = 14.28
- M_tot (μB/f.u.) = 2.00
- energy above the lowest structure with this stoichiometry (meV per atom) = 178
- crystal system = tetragonal

No. 6
LiPa2I11: optimized geometry, PBE-GGA.

```
data_LiPa2I11
_chemical_formula_sum 'Li4 Pa8 I44'
_symmetry_space_group_name_H-M 'I b a m'
_symmetry_Int_Tables_number 72
_symmetry_space_group_name_Hall '-I 2 2c'
_cell_length_a 11.544
_cell_length_b 18.886
_cell_length_c 15.880
_cell_angle_alpha 90.00
_cell_angle_beta 90.00
_cell_angle_gamma 90.00
loop_
_atom_site_label
_atom_site_type_symbol
_atom_site_fract_x
_atom_site_fract_y
_atom_site_fract_z
_atom_site_occupancy
Li1 Li 0.000 0.000 0.250 1
Pa1 Pa 0.233 0.418 0.000 1
I1 I 0.000 0.500 0.000 1
I2 I 0.051 0.157 0.500 1
I3 I 0.138 0.330 0.133 1
I4 I 0.184 0.023 0.128 1
```

Summary:
- M_tot (μB/f.u.) = 0.00
- total DFT energy (no corrections) (eV/atom) = -3.637
- crystal system = orthorhombic

No. 7
LiPaI4: optimized geometry, PBE-GGA.

```
data_LiPaI4
_chemical_formula_sum 'Li2 Pa2 I8'
_symmetry_space_group_name_H-M 'C 1 2/m 1'
_symmetry_Int_Tables_number 12
_cell_length_a 16.977
_cell_length_b 4.127
_cell_length_c 7.738
_cell_angle_alpha 90.00
_cell_angle_beta 106.87
_cell_angle_gamma 90.00
loop_
_symmetry_equiv_pos_as_xyz
'x,y,z'
'-x,-y,-z'
'-x,y,-z'
'x,-y,z'
'x+1/2,y+1/2,z'
'-x+1/2,-y+1/2,-z'
'-x+1/2,y+1/2,-z'
'x+1/2,-y+1/2,z'
loop_
_atom_site_label
_atom_site_type_symbol
_atom_site_fract_x
_atom_site_fract_y
_atom_site_fract_z
_atom_site_occupancy
Li1 Li 0.000 0.000 0.000 1
Pa1 Pa 0.000 0.500 0.500 1
I1 I 0.103 0.500 0.901 1
I2 I 0.120 0.000 0.405 1
```

Summary:
- Fermi-level density of states (states/eV/cell) = 5.53
- M_tot (μB/f.u.) = 2.01
- energy above the lowest structure with this stoichiometry (meV per atom) = 0
- crystal system = monoclinic

No. 8
RbLi2PaI8: optimized geometry, PBE-GGA.

```
data_RbLi2PaI8
_chemical_formula_sum 'Rb2 Li4 Pa2 I16'
_symmetry_space_group_name_H-M 'C 1 2/m 1'
_symmetry_Int_Tables_number 12
_cell_length_a 12.157
_cell_length_b 8.620
_cell_length_c 10.763
_cell_angle_alpha 90.00
_cell_angle_beta 94.40
_cell_angle_gamma 90.00
loop_
_symmetry_equiv_pos_as_xyz
'x,y,z'
'-x,-y,-z'
'-x,y,-z'
'x,-y,z'
'x+1/2,y+1/2,z'
'-x+1/2,-y+1/2,-z'
'-x+1/2,y+1/2,-z'
'x+1/2,-y+1/2,z'
loop_
_atom_site_label
_atom_site_type_symbol
_atom_site_fract_x
_atom_site_fract_y
_atom_site_fract_z
_atom_site_occupancy
Rb1 Rb 0.000 0.000 0.000 1
Li1 Li 0.139 0.500 0.262 1
Pa1 Pa 0.000 0.000 0.500 1
I1 I 0.016 0.243 0.697 1
I2 I 0.202 0.500 0.038 1
I3 I 0.243 0.000 0.496 1
```

Summary:
- Fermi-level density of states (states/eV/cell) = 10.49
- M_tot (μB/f.u.) = 0.16
- total DFT energy (no corrections) (eV/atom) = -3.257
- crystal system = monoclinic

No. 9
Li2PaTlI8: optimized geometry, PBE-GGA.

```
data_Li2PaTlI8
_chemical_formula_sum 'Li4 Pa2 Tl2 I16'
_symmetry_space_group_name_H-M 'C 1 2/m 1'
_symmetry_Int_Tables_number 12
_cell_length_a 10.552
_cell_length_b 12.133
_cell_length_c 9.861
_cell_angle_alpha 90.00
_cell_angle_beta 104.80
_cell_angle_gamma 90.00
loop_
_symmetry_equiv_pos_as_xyz
'x,y,z'
'-x,-y,-z'
'-x,y,-z'
'x,-y,z'
'x+1/2,y+1/2,z'
'-x+1/2,-y+1/2,-z'
'-x+1/2,y+1/2,-z'
'x+1/2,-y+1/2,z'
loop_
_atom_site_label
_atom_site_type_symbol
_atom_site_fract_x
_atom_site_fract_y
_atom_site_fract_z
_atom_site_occupancy
Li1 Li 0.097 0.000 0.160 1
Pa1 Pa 0.000 0.500 0.500 1
Tl1 Tl 0.000 0.500 0.000 1
I1 I 0.015 0.328 0.714 1
I2 I 0.167 0.000 0.919 1
I3 I 0.208 0.000 0.448 1
```

Summary:
- M_tot (μB/f.u.) = 0.00
- total DFT energy (no corrections) (eV/atom) = -3.283
- crystal system = monoclinic

No. 10
LiPb2I2: optimized geometry, PBE-GGA.

```
data_LiPb2I2
_chemical_formula_sum 'Li2 Pb4 I4'
_symmetry_space_group_name_H-M 'P 4/m b m'
_symmetry_Int_Tables_number 127
_symmetry_space_group_name_Hall '-P 4 2ab'
_cell_length_a 7.987
_cell_length_b 7.987
_cell_length_c 5.462
_cell_angle_alpha 90.00
_cell_angle_beta 90.00
_cell_angle_gamma 90.00
loop_
_atom_site_label
_atom_site_type_symbol
_atom_site_fract_x
_atom_site_fract_y
_atom_site_fract_z
_atom_site_occupancy
Li1 Li 0.000 0.000 0.000 1
Pb1 Pb 0.176 0.324 0.000 1
I1 I 0.180 0.680 0.500 1
```

Summary:
- Fermi-level density of states (states/eV/cell) = 6.68
- M_tot (μB/f.u.) = 0.00
- energy above the lowest structure with this stoichiometry (meV per atom) = 49
- crystal system = tetragonal

Look up the M_tot of the ninth one.
0.00 μB/f.u.